# 1
## HgSe2 (PBE)

Data for HgSe2 after structural relaxation.

Values from the calculation:
Offset from the most stable computed form (meV/atom): 8
Energy (eV/atom): -2.4370

CIF file:
```
data_HgSe2
_space_group_name_H-M_alt 'P n n m'
_space_group_IT_number 58
_cell_length_a 5.438
_cell_length_b 7.263
_cell_length_c 4.249
_cell_angle_alpha 90.00
_cell_angle_beta 90.00
_cell_angle_gamma 90.00
loop_
_space_group_symop_operation_xyz
'x,y,z'
'-x,-y,-z'
'-x,-y,z'
'x,y,-z'
'x+1/2,-y+1/2,-z+1/2'
'-x+1/2,y+1/2,z+1/2'
'-x+1/2,y+1/2,-z+1/2'
'x+1/2,-y+1/2,z+1/2'
loop_
_atom_site_label
_atom_site_type_symbol
_atom_site_fract_x
_atom_site_fract_y
_atom_site_fract_z
Hg1 Hg 0.000 0.000 0.000
Se1 Se 0.177 0.404 0.000
```

=====

# 2
## HgSe3 (PBE)

Data for HgSe3 after structural relaxation.

Values from the calculation:
Energy (eV/atom): -2.5647

CIF file:
```
data_HgSe3
_space_group_name_H-M_alt 'P m m n'
_space_group_IT_number 59
_cell_length_a 5.122
_cell_length_b 5.458
_cell_length_c 8.204
_cell_angle_alpha 90.00
_cell_angle_beta 90.00
_cell_angle_gamma 90.00
loop_
_space_group_symop_operation_xyz
'x,y,z'
'-x,-y,-z'
'-x+1/2,-y+1/2,z'
'x+1/2,y+1/2,-z'
'x+1/2,-y,-z'
'-x+1/2,y,z'
'-x,y+1/2,-z'
'x,-y+1/2,z'
loop_
_atom_site_label
_atom_site_type_symbol
_atom_site_fract_x
_atom_site_fract_y
_atom_site_fract_z
Hg1 Hg 0.250 0.250 0.116
Se1 Se 0.250 0.503 0.465
Se2 Se 0.250 0.750 0.987
```

=====

# 3
## HgSe2 (PBE)

Data for HgSe2 after structural relaxation.

Values from the calculation:
Offset from the most stable computed form (meV/atom): 240
Energy (eV/atom): -2.2041

CIF file:
```
data_HgSe2
_space_group_name_H-M_alt 'R -3 m'
_space_group_IT_number 166
_space_group_name_Hall '-R 3 2"'
_cell_length_a 3.9543
_cell_length_b 3.9543
_cell_length_c 16.2048
_cell_angle_alpha 90.00
_cell_angle_beta 90.00
_cell_angle_gamma 120.00
loop_
_atom_site_label
_atom_site_type_symbol
_atom_site_fract_x
_atom_site_fract_y
_atom_site_fract_z
Hg1 Hg 0.0000 0.0000 0.0000
Se1 Se 0.0000 0.0000 0.2330
```

=====

# 4
## Hg3Se2 (PBE)

Data for Hg3Se2 after structural relaxation.

Values from the calculation:
Offset from the most stable computed form (meV/atom): 63
Energy (eV/atom): -1.6112

CIF file:
```
data_Hg3Se2
_space_group_name_H-M_alt 'R -3 m'
_space_group_IT_number 166
_space_group_name_Hall '-R 3 2"'
_cell_length_a 4.1543
_cell_length_b 4.1543
_cell_length_c 25.2112
_cell_angle_alpha 90.00
_cell_angle_beta 90.00
_cell_angle_gamma 120.00
loop_
_atom_site_label
_atom_site_type_symbol
_atom_site_fract_x
_atom_site_fract_y
_atom_site_fract_z
Hg1 Hg 0.0000 0.0000 0.0000
Hg2 Hg 0.0000 0.0000 0.2040
Se1 Se 0.0000 0.0000 0.3996
```

=====

Number 1: E_form (uncorrected) -0.013 eV/atom. Number 2: E_form (uncorrected) 0.124 eV/atom. Number 3: E_form (uncorrected) 0.220 eV/atom. Number 4: E_form (uncorrected) -0.036 eV/atom.